A plane-wave DFT calculation with PBE-GGA was carried out for a relaxed structure of Ho5Ag4Pt.

## Properties
E   -45.6 eV per cell
Symmetry   P4/mmm, No. 123
DOS(E_F)   4.07 states/eV/f.u.
Magnetic moment   0.0 μB per cell
ρ   10.40 g/cm3

Cell lengths 3.568, 3.568, 18.192 Å; angles 90.00, 90.00, 90.00 degrees
Element x y z (fractional)
Ho1 0.500 0.500 0.091
Ho2 0.500 0.500 0.296
Ho3 0.500 0.500 0.500
Ho4 0.500 0.500 0.704
Ho5 0.500 0.500 0.909
Ag1 0.000 0.000 0.196
Ag2 0.000 0.000 0.398
Ag3 0.000 0.000 0.602
Ag4 0.000 0.000 0.804
Pt1 0.000 0.000 0.000